1.
CeHo2HfAs4 | GGA-PBE | relaxed

abc: 4.0525 7.0183 7.0140
angles: 109.29 90.00 90.00
Closest atoms and distances in Å follow each position.
Fractional coordinates of all 8 atoms:
Ce  0.0000  0.0000  0.0000  6 As 2.88-2.89
Ho  0.5000  0.0000  0.5000  6 As 2.94
Ho  0.0000  0.5000  0.5000  6 As 2.84
Hf  0.5000  0.5000  0.0000  6 As 2.79-2.80
As  0.5000  0.2610  0.2479  1 Hf 2.79, 3 Ho 2.84-2.94, 2 Ce 2.89
As  0.5000  0.7390  0.7521  1 Hf 2.79, 3 Ho 2.84-2.94, 2 Ce 2.89
As  0.0000  0.2640  0.7602  2 Hf 2.80, 3 Ho 2.84-2.94, 1 Ce 2.88
As  0.0000  0.7360  0.2398  2 Hf 2.80, 3 Ho 2.84-2.94, 1 Ce 2.88

symmetry	No. 10

2.
Ce2HfAs3Ir4 | GGA-PBE | relaxed

abc: 4.1372 4.1372 11.0810
angles: 90.00 90.00 90.00
Closest atoms and distances in Å follow each position.
Fractional coordinates of all 10 atoms:
Ce  0.5000  0.0000  0.2303  4 As 3.12, 8 Ir 3.23-3.28
Ce  0.0000  0.5000  0.7697  4 As 3.12, 8 Ir 3.23-3.28
Hf  0.5000  0.5000  0.5000  4 Ir 2.63, 4 As 2.93
As  0.0000  0.0000  0.5000  4 Ir 2.63, 4 Hf 2.93
As  0.5000  0.0000  0.8668  5 Ir 2.44-2.54
As  0.0000  0.5000  0.1332  5 Ir 2.44-2.54
Ir  0.5000  0.5000  0.0000  4 As 2.54
Ir  0.0000  0.0000  0.0000  4 As 2.54
Ir  0.5000  0.0000  0.6462  3 As 2.44-2.63, 2 Hf 2.63
Ir  0.0000  0.5000  0.3538  3 As 2.44-2.63, 2 Hf 2.63

symmetry	No. 115

3.
Ce2HfAsN5 | GGA-PBE | relaxed

abc: 3.3793 7.3778 10.0521
angles: 90.00 90.00 103.24
Closest atoms and distances in Å follow each position.
Fractional coordinates of all 18 atoms:
Ce  0.8670  0.7339  0.8092  6 N 2.49-2.60
Ce  0.1166  0.2332  0.6808  8 N 2.49-2.72
Ce  0.1330  0.2661  0.3092  6 N 2.49-2.60
Ce  0.8834  0.7668  0.1808  8 N 2.49-2.72
Hf  0.7890  0.5781  0.5168  5 N 2.03-2.27
Hf  0.2110  0.4219  0.0168  5 N 2.03-2.27
As  0.5467  0.0935  0.9482  4 N 1.82-1.96
As  0.4533  0.9065  0.4482  4 N 1.82-1.96
N  0.3520  0.7039  0.0044  1 Hf 2.03
N  0.6735  0.3469  0.8765  1 As 1.96
N  0.4935  0.9869  0.7838  1 As 1.82
N  0.2893  0.5786  0.6632  2 Hf 2.24, 3 Ce 2.49-2.50
N  0.9571  0.9141  0.5410  2 As 1.93
N  0.6480  0.2961  0.5044  1 Hf 2.03
N  0.3265  0.6531  0.3765  1 As 1.96
N  0.5065  0.0131  0.2838  1 As 1.82
N  0.7107  0.4214  0.1632  2 Hf 2.24, 3 Ce 2.49-2.50
N  0.0429  0.0859  0.0410  2 As 1.93

ΔE_f (raw)	-8.57	eV/f.u.
symmetry	No. 36

4.
Ce2NdHfAs4 | GGA-PBE | relaxed

abc: 4.1211 7.1537 7.1448
angles: 109.30 90.00 90.00
Closest atoms and distances in Å follow each position.
Fractional coordinates of all 8 atoms:
Ce  0.5000  0.0000  0.5000  6 As 2.90
Ce  0.0000  0.5000  0.5000  6 As 3.03
Nd  0.5000  0.5000  0.0000  6 As 2.94
Hf  0.0000  0.0000  0.0000  6 As 2.80-2.82
As  0.5000  0.2304  0.2337  2 Hf 2.82, 3 Ce 2.90-3.03, 1 Nd 2.94
As  0.5000  0.7696  0.7663  2 Hf 2.82, 3 Ce 2.90-3.03, 1 Nd 2.94
As  0.0000  0.2365  0.7562  1 Hf 2.80, 3 Ce 2.90-3.03, 2 Nd 2.94
As  0.0000  0.7635  0.2438  1 Hf 2.80, 3 Ce 2.90-3.03, 2 Nd 2.94

symmetry	No. 10

Number 1: calculated total energy -6.81 eV/atom. Number 2: calculated total energy -7.93 eV/atom. Number 3: calculated total energy -8.52 eV/atom. Number 4: calculated total energy -6.97 eV/atom.